(1)
Density functional theory data (PBE) for a geometry-optimized NaPIrO structure.

Properties
Uncorrected energy: -5.581 eV per atom
Crystal system: orthorhombic
Polymorph energy (0 for the lowest one): 144.1 meV per atom

Lattice parameters (Å, degrees): 3.7989 5.9923 6.3369 90.00 90.00 90.00
With the nearest neighbours (Å) after each atom.
Positions (direct):
Na 0.0000 0.1381 0.0000  2 O 2.27-2.30
Na 0.0000 0.8619 0.5000  2 O 2.27-2.30
P 0.5000 0.3689 0.7377  2 Ir 2.21
P 0.5000 0.6311 0.2377  2 Ir 2.21
Ir 0.5000 0.3025 0.3949  2 O 1.99, 2 P 2.21
Ir 0.5000 0.6975 0.8949  2 O 1.99, 2 P 2.21
O 0.0000 0.2123 0.3507  2 Ir 1.99
O 0.0000 0.7877 0.8507  2 Ir 1.99

(2)
Density functional theory data (PBE) for a geometry-optimized YCdPO structure.

Properties
Uncorrected energy: -5.911 eV per atom
Crystal system: orthorhombic

Lattice parameters (Å, degrees): 4.3464 6.5669 5.8426 90.00 90.00 90.00
With the nearest neighbours (Å) after each atom.
Positions (direct):
Y 0.0000 0.2165 0.0000  2 O 2.25
Y 0.0000 0.7835 0.5000  2 O 2.25
Cd 0.5000 0.3601 0.5792  2 O 2.28-2.41, 2 P 2.46
Cd 0.5000 0.6399 0.0792  2 O 2.28-2.41, 2 P 2.46
P 0.0000 0.2042 0.4890  2 Cd 2.46
P 0.0000 0.7958 0.9890  2 Cd 2.46
O 0.5000 0.3030 0.9873  2 Y 2.25, 2 Cd 2.28-2.41
O 0.5000 0.6970 0.4873  2 Y 2.25, 2 Cd 2.28-2.41

(3)
Density functional theory data (PBE) for a geometry-optimized AgSbPb structure.

Properties
Uncorrected energy: -3.433 eV per atom
Crystal system: cubic
Polymorph energy (0 for the lowest one): 98.9 meV per atom

Lattice parameters (Å, degrees): 5.0372 5.0372 5.0372 60.00 60.00 60.00
With the nearest neighbours (Å) after each atom.
Positions (direct):
Ag 0.0000 0.0000 0.0000  4 Sb 3.08
Sb 0.2500 0.2500 0.2500  4 Pb 3.08, 4 Ag 3.08
Pb 0.5000 0.5000 0.5000  4 Sb 3.08

(4)
Density functional theory data (PBE) for a geometry-optimized ZnCdInCo structure.

Properties
Uncorrected energy: -2.754 eV per atom
Crystal system: cubic
Polymorph energy (0 for the lowest one): 0.0 meV per atom

Lattice parameters (Å, degrees): 4.5504 4.5504 4.5504 60.00 60.00 60.00
With the nearest neighbours (Å) after each atom.
Positions (direct):
Zn 0.0000 0.0000 0.0000  4 Cd 2.79, 4 In 2.79
Cd 0.7500 0.7500 0.7500  4 Co 2.79, 4 Zn 2.79
In 0.2500 0.2500 0.2500  4 Co 2.79, 4 Zn 2.79
Co 0.5000 0.5000 0.5000  4 Cd 2.79, 4 In 2.79

(5)
Density functional theory data (PBE) for a geometry-optimized NbHgSeO structure.

Properties
Uncorrected energy: -5.545 eV per atom
Crystal system: tetragonal
Polymorph energy (0 for the lowest one): 206.6 meV per atom

Lattice parameters (Å, degrees): 3.6996 3.6996 10.9160 90.00 90.00 90.00
With the nearest neighbours (Å) after each atom.
Positions (direct):
Nb 0.2500 0.2500 0.1050  4 O 2.18
Nb 0.7500 0.7500 0.8950  4 O 2.18
Hg 0.2500 0.7500 0.5000  4 Hg 2.62
Hg 0.7500 0.2500 0.5000  4 Hg 2.62
Se 0.2500 0.2500 0.7725  4 Nb 2.94, 4 O 3.10
Se 0.7500 0.7500 0.2275  4 Nb 2.94, 4 O 3.10
O 0.2500 0.7500 0.0000  4 Nb 2.18
O 0.7500 0.2500 0.0000  4 Nb 2.18

(6)
Density functional theory data (PBE) for a geometry-optimized SmBiAsO structure.

Properties
Uncorrected energy: -5.321 eV per atom
Crystal system: tetragonal
Polymorph energy (0 for the lowest one): 625.5 meV per atom

Lattice parameters (Å, degrees): 4.8917 4.8917 7.5714 90.00 90.00 90.00
With the nearest neighbours (Å) after each atom.
Positions (direct):
Sm 0.2500 0.7500 0.0000  4 As 2.86
Sm 0.7500 0.2500 0.0000  4 As 2.86
Bi 0.2500 0.2500 0.4273  4 O 2.51
Bi 0.7500 0.7500 0.5727  4 O 2.51
As 0.2500 0.2500 0.8034  1 Bi 2.85, 4 Sm 2.86
As 0.7500 0.7500 0.1966  1 Bi 2.85, 4 Sm 2.86
O 0.2500 0.7500 0.5000  4 Bi 2.51
O 0.7500 0.2500 0.5000  4 Bi 2.51

(7)
Density functional theory data (PBE) for a geometry-optimized BaSiAg2Te2S2 structure.

Properties
Uncorrected energy: -4.136 eV per atom
Crystal system: monoclinic
Polymorph energy (0 for the lowest one): 0.0 meV per atom

Lattice parameters (Å, degrees): 6.5161 6.5161 7.1832 119.75 119.75 80.86
With the nearest neighbours (Å) after each atom.
Positions (direct):
Ba 0.0000 0.0000 0.0000  4 S 3.33-3.49, 4 Te 3.61-3.64
Si 0.5306 0.4694 0.0000  2 S 2.13
Ag 0.3026 0.6974 0.5000  2 Te 2.68
Ag 0.6635 0.3365 0.5000  2 S 2.63
Te 0.1532 0.4464 0.6217  1 Si 2.56, 1 Ag 2.68
Te 0.5536 0.8468 0.3783  1 Si 2.56, 1 Ag 2.68
S 0.5021 0.1667 0.0293  1 Si 2.13
S 0.8333 0.4979 0.9707  1 Si 2.13

(8)
Density functional theory data (PBE) for a geometry-optimized RbCdPt structure.

Properties
Uncorrected energy: -1.816 eV per atom
Crystal system: cubic
Polymorph energy (0 for the lowest one): 612.6 meV per atom

Lattice parameters (Å, degrees): 5.3047 5.3047 5.3047 60.00 60.00 60.00
With the nearest neighbours (Å) after each atom.
Positions (direct):
Rb 0.0000 0.0000 0.0000  4 Cd 3.25, 4 Pt 3.25
Cd 0.7500 0.7500 0.7500  4 Rb 3.25
Pt 0.2500 0.2500 0.2500  4 Rb 3.25

(9)
Density functional theory data (PBE) for a geometry-optimized Y2ScGa3Ge2Pt structure.

Properties
Uncorrected energy: -5.665 eV per atom
Crystal system: orthorhombic

Lattice parameters (Å, degrees): 4.1828 6.8755 6.8755 118.15 90.00 90.00
With the nearest neighbours (Å) after each atom.
Positions (direct):
Y 0.0000 0.2065 0.7935  1 Pt 2.93, 4 Ge 2.99-3.01, 4 Ga 3.15-3.21
Y 0.0000 0.7935 0.2065  1 Pt 2.93, 4 Ge 2.99-3.01, 4 Ga 3.15-3.21
Sc 0.0000 0.6210 0.6210  1 Pt 2.76, 4 Ge 2.87
Ga 0.5000 0.2128 0.4538  2 Pt 2.63, 2 Ge 2.69-2.75, 2 Ga 2.84-2.87
Ga 0.5000 0.4538 0.2128  2 Pt 2.63, 2 Ge 2.69-2.75, 2 Ga 2.84-2.87
Ga 0.5000 0.9807 0.9807  2 Ge 2.68, 2 Pt 2.74, 2 Ga 2.87
Ge 0.5000 0.5501 0.8676  3 Ga 2.68-2.75, 2 Sc 2.87, 2 Y 2.99
Ge 0.5000 0.8676 0.5501  3 Ga 2.68-2.75, 2 Sc 2.87, 2 Y 2.99
Pt 0.0000 0.2308 0.2308  6 Ga 2.63-2.74, 1 Sc 2.76, 2 Y 2.93

(10)
Density functional theory data (PBE) for a geometry-optimized SiAsW structure.

Properties
Uncorrected energy: -7.090 eV per atom
Crystal system: cubic
Polymorph energy (0 for the lowest one): 0.0 meV per atom

Lattice parameters (Å, degrees): 4.2776 4.2776 4.2776 60.00 60.00 60.00
With the nearest neighbours (Å) after each atom.
Positions (direct):
Si 0.0000 0.0000 0.0000  4 W 2.62
As 0.5000 0.5000 0.5000  4 W 2.62
W 0.7500 0.7500 0.7500  4 Si 2.62, 4 As 2.62

(11)
Density functional theory data (PBE) for a geometry-optimized Cs2LiCoBr6 structure.

Properties
Uncorrected energy: -3.171 eV per atom
Crystal system: cubic

Lattice parameters (Å, degrees): 7.5074 7.5074 7.5074 60.00 60.00 60.00
With the nearest neighbours (Å) after each atom.
Positions (direct):
Cs 0.2500 0.2500 0.2500  12 Br 3.76
Cs 0.7500 0.7500 0.7500  12 Br 3.76
Li 0.0000 0.0000 0.0000  6 Br 2.84
Co 0.5000 0.5000 0.5000  6 Br 2.46
Br 0.2679 0.2679 0.7321  1 Co 2.46
Br 0.2679 0.7321 0.2679  1 Co 2.46
Br 0.2679 0.7321 0.7321  1 Co 2.46
Br 0.7321 0.2679 0.2679  1 Co 2.46
Br 0.7321 0.2679 0.7321  1 Co 2.46
Br 0.7321 0.7321 0.2679  1 Co 2.46

(12)
Density functional theory data (PBE) for a geometry-optimized YBeCuPb structure.

Properties
Uncorrected energy: -4.175 eV per atom
Crystal system: cubic
Polymorph energy (0 for the lowest one): 149.5 meV per atom

Lattice parameters (Å, degrees): 4.8230 4.8230 4.8230 60.00 60.00 60.00
With the nearest neighbours (Å) after each atom.
Positions (direct):
Y 0.0000 0.0000 0.0000  4 Pb 2.95, 4 Be 2.95
Be 0.7500 0.7500 0.7500  4 Y 2.95, 4 Cu 2.95
Cu 0.5000 0.5000 0.5000  4 Be 2.95, 4 Pb 2.95
Pb 0.2500 0.2500 0.2500  4 Cu 2.95, 4 Y 2.95

Question: Among the records above, which one has the highest uncorrected energy?
Answer: RbCdPt

Question: Among the records above, which one has the lowest uncorrected energy?
Answer: SiAsW

Question: Which of these has the lowest uncorrected energy?
Answer: SiAsW